No. 1
# MgGa2W | Alexandria via LeMat-Bulk | PBE-GGA | relaxed
data_MgGa2W
_chemical_formula_sum 'Mg4 Ga8 W4'
_cell_length_a 7.1363
_cell_length_b 7.1363
_cell_length_c 5.6404
_cell_angle_alpha 90.00
_cell_angle_beta 90.00
_cell_angle_gamma 90.00
_symmetry_space_group_name_H-M 'I -4 2 d'
_symmetry_Int_Tables_number 122
_symmetry_space_group_name_Hall 'I -4 2bw'
loop_
_atom_site_label
_atom_site_type_symbol
_atom_site_fract_x
_atom_site_fract_y
_atom_site_fract_z
Mg1 Mg 0.0000 0.0000 0.0000
Ga1 Ga 0.2410 0.2500 0.6250
W1 W 0.0000 0.0000 0.5000
# Crystal system   tetragonal



No. 2
# Mg3GaW | Alexandria via LeMat-Bulk | PBE-GGA | relaxed
data_Mg3GaW
_chemical_formula_sum 'Mg3 Ga1 W1'
_cell_length_a 4.9178
_cell_length_b 4.9178
_cell_length_c 4.9178
_cell_angle_alpha 90.00
_cell_angle_beta 90.00
_cell_angle_gamma 90.00
_symmetry_space_group_name_H-M 'P m -3 m'
_symmetry_Int_Tables_number 221
_symmetry_space_group_name_Hall '-P 4 2 3'
loop_
_atom_site_label
_atom_site_type_symbol
_atom_site_fract_x
_atom_site_fract_y
_atom_site_fract_z
Mg1 Mg 0.0000 0.0000 0.5000
Ga1 Ga 0.0000 0.0000 0.0000
W1 W 0.5000 0.5000 0.5000
# Crystal system   cubic
# E above lowest polymorph   0.0000 eV per atom



No. 3
# Mg14GaW | Alexandria via LeMat-Bulk | PBE-GGA | relaxed
data_Mg14GaW
_chemical_formula_sum 'Mg28 Ga2 W2'
_cell_length_a 10.1647
_cell_length_b 6.1302
_cell_length_c 10.8113
_cell_angle_alpha 90.00
_cell_angle_beta 90.00
_cell_angle_gamma 90.00
_symmetry_space_group_name_H-M 'A m m 2'
_symmetry_Int_Tables_number 38
loop_
_symmetry_equiv_pos_as_xyz
'x,y,z'
'-x,-y,z'
'-x,y,z'
'x,-y,z'
'x,y+1/2,z+1/2'
'-x,-y+1/2,z+1/2'
'-x,y+1/2,z+1/2'
'x,-y+1/2,z+1/2'
loop_
_atom_site_label
_atom_site_type_symbol
_atom_site_fract_x
_atom_site_fract_y
_atom_site_fract_z
Mg1 Mg 0.0000 0.0000 0.0000
Mg2 Mg 0.0000 0.0000 0.4992
Mg3 Mg 0.0000 0.2483 0.2517
Mg4 Mg 0.2474 0.0000 0.6657
Mg5 Mg 0.2583 0.0000 0.1607
Mg6 Mg 0.2646 0.2459 0.9188
Mg7 Mg 0.5000 0.2503 0.2486
Ga1 Ga 0.5000 0.0000 0.5045
W1 W 0.5000 0.0000 0.0015
# Crystal system   orthorhombic
# E above lowest polymorph   0.0031 eV per atom



No. 4
# Mg2GaW | Alexandria via LeMat-Bulk | PBE-GGA | relaxed
data_Mg2GaW
_chemical_formula_sum 'Mg8 Ga4 W4'
_cell_length_a 7.4491
_cell_length_b 7.4491
_cell_length_c 5.3402
_cell_angle_alpha 90.00
_cell_angle_beta 90.00
_cell_angle_gamma 90.00
_symmetry_space_group_name_H-M 'I -4 2 d'
_symmetry_Int_Tables_number 122
_symmetry_space_group_name_Hall 'I -4 2bw'
loop_
_atom_site_label
_atom_site_type_symbol
_atom_site_fract_x
_atom_site_fract_y
_atom_site_fract_z
Mg1 Mg 0.2281 0.2500 0.1250
Ga1 Ga 0.0000 0.0000 0.0000
W1 W 0.0000 0.0000 0.5000
# Crystal system   tetragonal



No. 5
# Mg3GaW | Alexandria via LeMat-Bulk | PBE-GGA | relaxed
data_Mg3GaW
_chemical_formula_sum 'Mg3 Ga1 W1'
_cell_length_a 5.3001
_cell_length_b 5.3001
_cell_length_c 5.3001
_cell_angle_alpha 90.00
_cell_angle_beta 90.00
_cell_angle_gamma 90.00
_symmetry_space_group_name_H-M 'P m -3 m'
_symmetry_Int_Tables_number 221
_symmetry_space_group_name_Hall '-P 4 2 3'
loop_
_atom_site_label
_atom_site_type_symbol
_atom_site_fract_x
_atom_site_fract_y
_atom_site_fract_z
Mg1 Mg 0.0000 0.0000 0.5000
Ga1 Ga 0.5000 0.5000 0.5000
W1 W 0.0000 0.0000 0.0000
# Crystal system   cubic
# E above lowest polymorph   0.0815 eV per atom



No. 6
# Mg14GaW | Alexandria via LeMat-Bulk | PBE-GGA | relaxed
data_Mg14GaW
_chemical_formula_sum 'Mg14 Ga1 W1'
_cell_length_a 6.2364
_cell_length_b 6.2364
_cell_length_c 9.9784
_cell_angle_alpha 90.00
_cell_angle_beta 90.00
_cell_angle_gamma 120.00
_symmetry_space_group_name_H-M 'P -6 m 2'
_symmetry_Int_Tables_number 187
_symmetry_space_group_name_Hall 'P -6 2'
loop_
_atom_site_label
_atom_site_type_symbol
_atom_site_fract_x
_atom_site_fract_y
_atom_site_fract_z
Mg1 Mg 0.0000 0.0000 0.2494
Mg2 Mg 0.0143 0.5072 0.2558
Mg3 Mg 0.3341 0.1670 0.0000
Mg4 Mg 0.3340 0.1670 0.5000
Ga1 Ga 0.3333 0.6667 0.0000
W1 W 0.3333 0.6667 0.5000
# Crystal system   hexagonal
# E above lowest polymorph   0.0000 eV per atom



No. 7
# MgGaW2 | Alexandria via LeMat-Bulk | PBE-GGA | relaxed
data_MgGaW2
_chemical_formula_sum 'Mg4 Ga4 W8'
_cell_length_a 6.3443
_cell_length_b 6.3443
_cell_length_c 6.3443
_cell_angle_alpha 90.00
_cell_angle_beta 90.00
_cell_angle_gamma 90.00
_symmetry_space_group_name_H-M 'F m -3 m'
_symmetry_Int_Tables_number 225
_symmetry_space_group_name_Hall '-F 4 2 3'
loop_
_atom_site_label
_atom_site_type_symbol
_atom_site_fract_x
_atom_site_fract_y
_atom_site_fract_z
Mg1 Mg 0.0000 0.0000 0.0000
Ga1 Ga 0.0000 0.0000 0.5000
W1 W 0.2500 0.2500 0.2500
# Crystal system   cubic
# E above lowest polymorph   0.0000 eV per atom



No. 8
# MgZnGaW2 | Alexandria via LeMat-Bulk | PBE-GGA | relaxed
data_MgZnGaW2
_chemical_formula_sum 'Mg1 Zn1 Ga1 W2'
_cell_length_a 4.7023
_cell_length_b 4.7023
_cell_length_c 4.4095
_cell_angle_alpha 90.00
_cell_angle_beta 90.00
_cell_angle_gamma 90.00
_symmetry_space_group_name_H-M 'P 4/m m m'
_symmetry_Int_Tables_number 123
_symmetry_space_group_name_Hall '-P 4 2'
loop_
_atom_site_label
_atom_site_type_symbol
_atom_site_fract_x
_atom_site_fract_y
_atom_site_fract_z
Mg1 Mg 0.0000 0.0000 0.0000
Zn1 Zn 0.5000 0.5000 0.5000
Ga1 Ga 0.5000 0.5000 0.0000
W1 W 0.0000 0.5000 0.5000
# Crystal system   tetragonal



no.,calculated formation energy (eV per atom),magnetization (Bohr magnetons per cell)
1,0.56,0.0
2,1.18,3.6
3,0.12,2.1
4,0.70,2.5
5,1.26,2.6
6,0.12,0.0
7,0.76,0.0
8,1.55,0.0